GaFeAu2O6 | Alexandria via LeMat-Bulk | PBE with a Hubbard U | relaxed; final energy = -101.718 eV per cell; space group = C2/c (15)
1.0
5.763 -3.711 0.000
5.763 3.711 0.000
-1.305 0.000 5.451
Ga Fe Au O
2 2 4 12
direct
0.197 0.803 0.750
0.803 0.197 0.250
0.394 0.606 0.250
0.606 0.394 0.750
0.102 0.385 0.748
0.385 0.102 0.248
0.615 0.898 0.752
0.898 0.615 0.252
0.058 0.279 0.213
0.137 0.716 0.397
0.279 0.058 0.713
0.284 0.863 0.103
0.333 0.500 0.884
0.500 0.333 0.384
0.500 0.667 0.616
0.667 0.500 0.116
0.716 0.137 0.897
0.721 0.942 0.287
0.863 0.284 0.603
0.942 0.721 0.787